AcIn4Rh2, relaxed, DFT PBE; D(E_F) = 7.71 states/eV/cell; space group = P4_2/mnm; M_tot = 0.0 μB/cell; formation enthalpy at 0 K = -448 meV per atom
1.0
-2.155 -1.568 -3.177
-6.102 -2.966 5.603
-4.392 7.586 -0.766
Ac In Rh
2 8 4
direct
0.500 0.000 0.000
0.000 0.500 0.500
0.000 0.090 0.329
0.000 0.910 0.671
0.500 0.171 0.590
0.500 0.829 0.410
0.500 0.410 0.829
0.500 0.590 0.171
0.000 0.329 0.090
0.000 0.671 0.910
0.000 0.196 0.804
0.000 0.804 0.196
0.500 0.696 0.696
0.500 0.304 0.304

Ac7InRh2, relaxed, DFT PBE; D(E_F) = 6.75 states/eV/cell; space group = Cmmm; M_tot = 0.0 μB/cell; formation enthalpy at 0 K = -247 meV per atom
1.0
5.540 0.000 0.000
0.000 8.919 0.401
0.000 -3.575 8.181
Ac In Rh
7 1 2
direct
0.000 0.701 0.299
0.000 0.299 0.701
0.500 0.050 0.310
0.500 0.950 0.690
0.500 0.310 0.050
0.500 0.690 0.950
0.500 0.500 0.500
0.000 0.000 0.000
0.500 0.700 0.300
0.500 0.300 0.700

Ac3In9Rh2, relaxed, DFT PBE; D(E_F) = 6.48 states/eV/cell; space group = Immm; M_tot = 0.0 μB/cell; formation enthalpy at 0 K = -429 meV per atom
1.0
-3.635 -2.305 2.254
-3.144 -6.039 -6.010
3.391 -8.055 2.468
Ac In Rh
3 9 2
direct
0.000 0.000 0.000
0.688 0.312 0.312
0.312 0.688 0.688
0.000 0.500 0.500
0.654 0.984 0.708
0.346 0.016 0.292
0.654 0.708 0.984
0.346 0.292 0.016
0.873 0.846 0.408
0.127 0.154 0.592
0.873 0.408 0.846
0.127 0.592 0.154
0.500 0.314 0.686
0.500 0.686 0.314

Ac12In3Rh5, relaxed, DFT PBE; D(E_F) = 64.27 states/eV/cell; space group = Ia-3d; M_tot = 0.0 μB/cell; formation enthalpy at 0 K = -329 meV per atom
1.0
15.937 0.000 0.000
-5.312 15.025 0.000
-5.312 -7.513 13.012
In Rh Ac
12 20 48
direct
0.750 0.375 0.125
0.875 0.750 0.125
0.375 0.750 0.625
0.250 0.125 0.375
0.875 0.125 0.250
0.375 0.625 0.250
0.625 0.375 0.750
0.125 0.875 0.750
0.750 0.875 0.625
0.625 0.250 0.375
0.125 0.250 0.875
0.250 0.625 0.875
0.125 0.375 0.250
0.000 0.500 0.000
0.000 0.000 0.000
0.375 0.250 0.125
0.500 0.000 0.500
0.500 0.500 0.000
0.125 0.750 0.375
0.750 0.125 0.875
0.750 0.625 0.375
0.375 0.125 0.750
0.625 0.875 0.250
0.500 0.500 0.500
0.500 0.000 0.000
0.000 0.000 0.500
0.250 0.375 0.625
0.250 0.875 0.125
0.000 0.500 0.500
0.875 0.250 0.625
0.625 0.750 0.875
0.875 0.625 0.750
0.707 0.122 0.030
0.323 0.530 0.408
0.970 0.378 0.293
0.530 0.207 0.122
0.585 0.707 0.677
0.970 0.592 0.177
0.323 0.793 0.415
0.092 0.915 0.122
0.592 0.970 0.677
0.707 0.585 0.177
0.793 0.470 0.378
0.823 0.908 0.030
0.122 0.707 0.530
0.378 0.408 0.085
0.085 0.908 0.378
0.415 0.122 0.592
0.085 0.177 0.207
0.470 0.677 0.092
0.823 0.915 0.293
0.122 0.415 0.092
0.378 0.970 0.793
0.592 0.622 0.415
0.908 0.823 0.530
0.793 0.323 0.915
0.408 0.378 0.585
0.092 0.177 0.470
0.207 0.677 0.085
0.177 0.085 0.707
0.622 0.030 0.207
0.878 0.585 0.908
0.530 0.323 0.908
0.585 0.878 0.408
0.915 0.823 0.793
0.915 0.092 0.622
0.878 0.293 0.470
0.177 0.092 0.970
0.622 0.592 0.915
0.408 0.030 0.323
0.293 0.415 0.823
0.207 0.530 0.622
0.908 0.085 0.878
0.677 0.207 0.585
0.470 0.793 0.878
0.030 0.408 0.823
0.415 0.293 0.323
0.030 0.622 0.707
0.677 0.470 0.592
0.293 0.878 0.970

AcIn5Rh2, relaxed, DFT PBE; D(E_F) = 3.74 states/eV/cell; space group = Immm; M_tot = 0.0 μB/cell; formation enthalpy at 0 K = -447 meV per atom
1.0
4.314 0.000 0.000
2.157 6.711 0.270
2.157 1.498 6.547
Ac In Rh
1 5 2
direct
0.000 0.000 0.000
0.000 0.500 0.500
0.655 0.538 0.152
0.345 0.462 0.848
0.345 0.848 0.462
0.655 0.152 0.538
0.751 0.749 0.749
0.249 0.251 0.251

Ac3In2Rh3, relaxed, DFT PBE; D(E_F) = 11.35 states/eV/cell; space group = P6_3/mcm; M_tot = 0.0 μB/cell; formation enthalpy at 0 K = -559 meV per atom
1.0
6.124 0.000 0.000
0.000 7.557 -4.363
0.000 0.000 8.726
Ac In Rh
6 4 6
direct
0.750 0.273 0.000
0.750 0.727 0.727
0.750 0.000 0.273
0.250 0.727 0.000
0.250 0.273 0.273
0.250 0.000 0.727
0.000 0.333 0.667
0.500 0.667 0.333
0.000 0.667 0.333
0.500 0.333 0.667
0.750 0.600 0.000
0.750 0.400 0.400
0.750 0.000 0.600
0.250 0.400 0.000
0.250 0.600 0.600
0.250 0.000 0.400